[1]
Compound: CuTcTe2
Source: Alexandria
Functional: GGA-PBE
Structure: optimized geometry

Computed properties:
Crystal system: monoclinic
Distance to the lowest polymorph of the same formula, eV per atom: 0.0941
D(E_F), states/eV per cell: 2.7

abc: 3.970 4.993 4.666
angles: 90.00 106.61 90.00
Space group Pm (No. 6)
Inequivalent atoms, fractional coordinates:
Cu 0.000 0.000 0.000 [1 per cell]
Tc 0.188 0.500 0.765 [1 per cell]
Te 0.307 0.000 0.583 [1 per cell]
Te 0.818 0.500 0.143 [1 per cell]

[2]
Compound: Ce3GaB2Pt9
Source: Alexandria
Functional: GGA-PBE
Structure: optimized geometry

Computed properties:
Crystal system: trigonal
D(E_F), states/eV per cell: 19.9
Energy of formation, kJ per mole of atoms: -76

abc: 5.7613 5.7613 9.4271
angles: 90.00 90.00 120.00
Space group P-3m1 (No. 164)
Inequivalent atoms, fractional coordinates:
Ce 0.0000 0.0000 0.0000 [1 per cell]
Ce 0.3333 0.6667 0.6105 [2 per cell]
Ga 0.0000 0.0000 0.5000 [1 per cell]
B 0.3333 0.6667 0.1501 [2 per cell]
Pt 0.0000 0.5000 0.0000 [3 per cell]
Pt 0.1659 0.3318 0.2895 [6 per cell]